No. 1
A plane-wave DFT calculation with PBE was carried out for MgCoW2 after structural relaxation.

Calculated values
**Energy of formation from the pure elements**: 0.549 eV/atom
**ρ**: 12.1 g/cm3

abc: 3.279 3.279 5.759
angles: 90.00 90.00 90.00
Space group P4/mmm (No. 123)
Inequivalent atoms, fractional coordinates:
Mg  0.000  0.000  0.000
Co  0.000  0.000  0.500
W  0.500  0.500  0.293

***

No. 2
A plane-wave DFT calculation with PBE was carried out for MgCo2Ir after structural relaxation.

Calculated values
**Energy of formation from the pure elements**: 0.475 eV/atom
**ρ**: 9.5 g/cm3

abc: 3.613 3.613 17.830
angles: 90.00 90.00 90.00
Space group I-42d (No. 122)
Inequivalent atoms, fractional coordinates:
Mg  0.000  0.000  0.000
Co  0.248  0.250  0.625
Ir  0.000  0.000  0.500